1.
DFT (PBE) results for a geometry-optimized PuSi2Ru structure.

Cell lengths 3.0110, 3.0110, 7.0591 Å; angles 90.00, 90.00, 90.00 degrees
Space group P4/mmm (No. 123)
Inequivalent atoms, fractional coordinates:
Pu1 0.0000 0.0000 0.0000
Si1 0.5000 0.5000 0.2989
Ru1 0.0000 0.0000 0.5000

Output
Uncorrected formation energy (eV/atom): -0.480
Total energy (eV per atom): -9.09
N(E_F) (states/eV per cell): 4.88



2.
DFT (PBE) results for a geometry-optimized Y2CrCd structure.

Cell lengths 3.4104, 5.1561, 21.0717 Å; angles 90.00, 90.00, 90.00 degrees
Space group Imma (No. 74)
Inequivalent atoms, fractional coordinates:
Y1 0.0000 0.2500 0.0847
Y2 0.0000 0.2500 0.8151
Cr1 0.0000 0.2500 0.2838
Cd1 0.0000 0.2500 0.5463

Output
Total energy (eV per atom): -5.84
ΔE_f (meV per atom): 22.8
N(E_F) (states/eV per cell): 12.15



3.
DFT (PBE) results for a geometry-optimized PrY7Tm12 structure.

Cell lengths 11.1598, 11.1598, 11.1598 Å; angles 90.00, 90.00, 90.00 degrees
Space group Im-3m (No. 229)
Inequivalent atoms, fractional coordinates:
Pr1 0.0000 0.0000 0.0000
Y1 0.0000 0.0000 0.5000
Y2 0.2500 0.2500 0.2500
Tm1 0.0000 0.2567 0.2567

Output
Total energy (eV per atom): -4.44
E above lowest polymorph (meV per atom): 490
ΔE_f (meV per atom): 742.4
N(E_F) (states/eV per cell): 56.77



4.
DFT (PBE) results for a geometry-optimized KBaHgBr2 structure.

Cell lengths 5.8115, 5.8115, 7.1428 Å; angles 90.00, 90.00, 90.00 degrees
Space group P4/mmm (No. 123)
Inequivalent atoms, fractional coordinates:
K1 0.0000 0.0000 0.0000
Ba1 0.0000 0.0000 0.5000
Hg1 0.5000 0.5000 0.5000
Br1 0.0000 0.5000 0.0000

Output
Uncorrected formation energy (eV/atom): -0.681
Total energy (eV per atom): -2.01
N(E_F) (states/eV per cell): 2.81



5.
DFT (PBE) results for a geometry-optimized NaHfP2O structure.

Cell lengths 4.3941, 4.3941, 5.3228 Å; angles 90.00, 90.00, 90.00 degrees
Space group P4/mmm (No. 123)
Inequivalent atoms, fractional coordinates:
Na1 0.0000 0.0000 0.0000
Hf1 0.0000 0.0000 0.5000
P1 0.0000 0.5000 0.0000
O1 0.5000 0.5000 0.5000

Output
Uncorrected formation energy (eV/atom): 1.615
Total energy (eV per atom): -3.79
E above lowest polymorph (meV per atom): 2350
N(E_F) (states/eV per cell): 3.42



6.
DFT (PBE) results for a geometry-optimized Pm2PrPd structure.

Cell lengths 3.6746, 3.6746, 8.7571 Å; angles 90.00, 90.00, 90.00 degrees
Space group P4/mmm (No. 123)
Inequivalent atoms, fractional coordinates:
Pm1 0.0000 0.0000 0.1949
Pr1 0.5000 0.5000 0.5000
Pd1 0.5000 0.5000 0.0000

Output
Total energy (eV per atom): -5.21
E above lowest polymorph (meV per atom): 68
ΔE_f (meV per atom): -344.6
N(E_F) (states/eV per cell): 6.58